Entry 1:
{"formula": "BaLiSc2Zn", "functional": "PBEsol", "state": "optimized geometry", "lattice_angstrom": [[5.2024, 0.0000, 0.0000], [0.0000, 5.2024, 0.0000], [0.0000, 0.0000, 6.1334]], "species": ["Ba", "Li", "Sc", "Sc", "Zn"], "fractional_positions": [[0.0000, 0.0000, 0.0000], [0.5000, 0.5000, 0.0000], [0.0000, 0.5000, 0.5000], [0.5000, 0.0000, 0.5000], [0.0000, 0.0000, 0.5000]], "formation_enthalpy_0k_ev_per_atom": 0.407, "total_energy_ev_per_atom": -3.3746}

Entry 2:
{"formula": "BaLiSe2", "functional": "PBEsol", "state": "optimized geometry", "lattice_angstrom": [[5.1159, 0.0000, 0.0000], [0.0000, 5.1159, 0.0000], [0.0000, 0.0000, 4.0191]], "species": ["Ba", "Li", "Se", "Se"], "fractional_positions": [[0.0000, 0.0000, 0.0000], [0.5000, 0.5000, 0.0000], [0.0000, 0.5000, 0.5000], [0.5000, 0.0000, 0.5000]], "total_energy_ev_per_atom": -4.1051, "raw_formation_energy_ev_per_atom": -1.151}

Entry 3:
{"formula": "BaLi2Se", "functional": "PBEsol", "state": "optimized geometry", "lattice_angstrom": [[2.1588, 1.2464, 6.1800], [-2.1588, 1.2464, 6.1800], [0.0000, -2.4928, 6.1800]], "species": ["Ba", "Li", "Li", "Se"], "fractional_positions": [[0.0000, 0.0000, 0.0000], [0.1979, 0.1979, 0.1979], [0.4867, 0.4867, 0.4867], [0.7997, 0.7997, 0.7997]], "total_energy_ev_per_atom": -3.3333, "raw_formation_energy_ev_per_atom": -0.850}

Entry 4:
{"formula": "Ba4LiSe", "functional": "PBEsol", "state": "optimized geometry", "lattice_angstrom": [[0.0000, 5.0661, 5.0661], [5.0661, 0.0000, 5.0661], [5.0661, 5.0661, 0.0000]], "species": ["Ba", "Ba", "Ba", "Ba", "Li", "Se"], "fractional_positions": [[0.1233, 0.1233, 0.1233], [0.1233, 0.1233, 0.6302], [0.1233, 0.6302, 0.1233], [0.6302, 0.1233, 0.1233], [0.5000, 0.5000, 0.5000], [0.7500, 0.7500, 0.7500]], "total_energy_ev_per_atom": -2.2346, "raw_formation_energy_ev_per_atom": 0.168}

Entry 5:
{"formula": "BaLi2Se", "functional": "PBEsol", "state": "optimized geometry", "lattice_angstrom": [[0.0000, 3.1739, 6.2770], [3.1546, 0.0000, 6.2770], [3.1546, 3.1739, 0.0000]], "species": ["Ba", "Li", "Li", "Se"], "fractional_positions": [[0.0000, 0.0000, 0.0000], [0.0000, 0.5000, 0.0000], [0.5000, 0.0000, 0.5000], [0.5000, 0.5000, 0.5000]], "total_energy_ev_per_atom": -3.0963, "raw_formation_energy_ev_per_atom": -0.613}

Entry 6:
{"formula": "BaLi2Se", "functional": "PBEsol", "state": "optimized geometry", "lattice_angstrom": [[4.5227, 0.0000, 0.0000], [0.0000, 4.4803, 0.0000], [-0.8115, 0.0000, 5.4295]], "species": ["Ba", "Li", "Li", "Se"], "fractional_positions": [[0.0000, 0.0000, 0.0000], [0.4321, 0.5000, 0.7177], [0.5679, 0.5000, 0.2823], [0.5000, 0.0000, 0.5000]], "total_energy_ev_per_atom": -3.2808, "raw_formation_energy_ev_per_atom": -0.798}

Entry 7:
{"formula": "Ba2LiSe2", "functional": "PBEsol", "state": "optimized geometry", "lattice_angstrom": [[-2.9932, 2.9932, 6.0820], [2.9932, -2.9932, 6.0820], [2.9932, 2.9932, -6.0820]], "species": ["Ba", "Ba", "Li", "Se", "Se"], "fractional_positions": [[0.1783, 0.1783, 0.0000], [0.8217, 0.8217, 0.0000], [0.5000, 0.5000, 0.0000], [0.2500, 0.7500, 0.5000], [0.7500, 0.2500, 0.5000]], "total_energy_ev_per_atom": -3.8745, "raw_formation_energy_ev_per_atom": -1.082}

Entry 8:
{"formula": "BaLi2Si", "functional": "PBEsol", "state": "optimized geometry", "lattice_angstrom": [[3.3635, 0.0000, 0.0000], [0.0000, 3.8855, 0.0000], [0.0000, 0.0000, 7.1279]], "species": ["Ba", "Li", "Li", "Si"], "fractional_positions": [[0.0000, 0.0000, 0.0000], [0.5000, 0.5000, 0.3345], [0.5000, 0.5000, 0.6655], [0.0000, 0.0000, 0.5000]], "total_energy_ev_per_atom": -2.8655, "raw_formation_energy_ev_per_atom": 0.092}

Entry 9:
{"formula": "BaLi2Si", "functional": "PBEsol", "state": "optimized geometry", "lattice_angstrom": [[2.3073, 1.3321, 5.5295], [-2.3073, 1.3321, 5.5295], [0.0000, -2.6642, 5.5295]], "species": ["Ba", "Li", "Li", "Si"], "fractional_positions": [[0.0000, 0.0000, 0.0000], [0.1782, 0.1782, 0.1782], [0.4812, 0.4812, 0.4812], [0.7961, 0.7961, 0.7961]], "total_energy_ev_per_atom": -3.1991, "raw_formation_energy_ev_per_atom": -0.242}

Entry 10:
{"formula": "BaLiSi2", "functional": "PBEsol", "state": "optimized geometry", "lattice_angstrom": [[4.2619, -1.9309, 0.0000], [4.2619, 1.9309, 0.0000], [-2.0374, 0.0000, 5.7786]], "species": ["Ba", "Li", "Si", "Si"], "fractional_positions": [[0.0000, 0.0000, 0.0000], [0.5000, 0.5000, 0.5000], [0.2275, 0.2275, 0.6056], [0.7725, 0.7725, 0.3944]], "total_energy_ev_per_atom": -4.2085, "raw_formation_energy_ev_per_atom": -0.306}

Entry 11:
{"formula": "BaLi2Si", "functional": "PBEsol", "state": "optimized geometry", "lattice_angstrom": [[4.6179, 0.0000, 0.0000], [0.0000, 6.5962, 0.0000], [0.0000, 0.0000, 6.2998]], "species": ["Ba", "Ba", "Li", "Li", "Li", "Li", "Si", "Si"], "fractional_positions": [[0.2500, 0.2500, 0.0952], [0.7500, 0.7500, 0.9048], [0.2500, 0.0464, 0.5913], [0.2500, 0.4536, 0.5913], [0.7500, 0.5464, 0.4087], [0.7500, 0.9536, 0.4087], [0.2500, 0.7500, 0.3049], [0.7500, 0.2500, 0.6951]], "total_energy_ev_per_atom": -3.2419, "raw_formation_energy_ev_per_atom": -0.285}

Entry 12:
{"formula": "BaLiSi2", "functional": "PBEsol", "state": "optimized geometry", "lattice_angstrom": [[-1.9012, 2.1927, 5.9133], [1.9012, -2.1927, 5.9133], [1.9012, 2.1927, -5.9133]], "species": ["Ba", "Li", "Si", "Si"], "fractional_positions": [[0.0000, 0.0000, 0.0000], [0.2553, 0.7553, 0.5000], [0.6362, 0.6362, 0.0000], [0.7566, 0.2566, 0.5000]], "total_energy_ev_per_atom": -4.2084, "raw_formation_energy_ev_per_atom": -0.306}